Entry from the Alexandria database: SmCrClO4 after structural relaxation (GGA+U).

Structure (POSCAR):
```
SmCrClO4
1.0
5.0744 -3.6702 0.0000
5.0744 3.6702 0.0000
-1.7453 0.0000 6.5339
Sm Cr Cl O
2 2 2 8
direct
0.2240 0.2240 0.1170
0.7760 0.7760 0.8830
0.3609 0.3609 0.7327
0.6391 0.6391 0.2673
0.0156 0.0156 0.7620
0.9844 0.9844 0.2380
0.1315 0.4906 0.8538
0.2860 0.2860 0.4870
0.4729 0.4729 0.2321
0.4906 0.1315 0.8538
0.5094 0.8685 0.1462
0.5271 0.5271 0.7679
0.7140 0.7140 0.5130
0.8685 0.5094 0.1462
```

Values from the calculation:
- Fermi-level density of states: 0.000 states/eV/cell
- Final energy: -6.859 eV/atom
- Total magnetization: 0.000 μB/cell